BeAlPb2 | GGA-PBEsol | optimized geometry

Cell lengths 4.0111, 5.3209, 5.3209 Å; angles 60.32, 67.86, 67.86 degrees
Element x y z (fractional)
Pb 0.7215 0.2785 0.2785
Be 0.0000 0.5000 0.5000
Pb 0.2785 0.7215 0.7215
Al 0.5000 0.0000 0.0000

Computed properties:
M_tot = 0.00 μB/cell
calculated formation energy = 527 meV per atom
DOS at the Fermi energy = 0.448 states/eV per atom
distance to the lowest polymorph of the same formula = 186 meV/atom